Record 1
LiDyPO (PBE-GGA, optimized geometry); energy = -5.609 eV/atom; space-group type = P4/nmm (129); relative energy among the computed polymorphs = 0.4085 eV/atom; size of the total moment = 0.53 μB/f.u.
1.0
5.5641 0.0000 0.0000
0.0000 5.5641 0.0000
0.0000 0.0000 4.5543
Li Dy P O
2 2 2 2
Direct
0.2500 0.2500 0.0017 Li
0.7500 0.7500 0.9983 Li
0.2500 0.7500 0.5000 Dy
0.7500 0.2500 0.5000 Dy
0.2500 0.2500 0.5017 P
0.7500 0.7500 0.4983 P
0.2500 0.7500 0.0000 O
0.7500 0.2500 0.0000 O


Record 2
LiDyPO (PBE-GGA, optimized geometry); energy = -5.912 eV/atom; space-group type = Pmc2_1 (26); relative energy among the computed polymorphs = 0.1052 eV/atom; size of the total moment = 0.00 μB/f.u.
1.0
3.4755 0.0000 0.0000
0.0000 7.5132 0.0000
0.0000 0.0000 5.6667
Li Dy P O
2 2 2 2
Direct
0.0000 0.0804 0.0000 Li
0.0000 0.9196 0.5000 Li
0.5000 0.3000 0.3760 Dy
0.5000 0.7000 0.8760 Dy
0.5000 0.3265 0.8718 P
0.5000 0.6735 0.3718 P
0.0000 0.1415 0.3387 O
0.0000 0.8585 0.8387 O


Record 3
LiDyPO (PBE-GGA, optimized geometry); energy = -5.950 eV/atom; space-group type = Pmc2_1 (26); relative energy among the computed polymorphs = 0.0671 eV/atom; size of the total moment = 0.00 μB/f.u.
1.0
3.8662 0.0000 0.0000
0.0000 6.2962 0.0000
0.0000 0.0000 5.4156
Li Dy P O
2 2 2 2
Direct
0.0000 0.1702 0.0000 Li
0.0000 0.8298 0.5000 Li
0.5000 0.2435 0.5496 Dy
0.5000 0.7565 0.0496 Dy
0.0000 0.4863 0.2768 P
0.0000 0.5137 0.7768 P
0.5000 0.0719 0.8975 O
0.5000 0.9281 0.3975 O


Record 4
Li4DySbO6 (PBE-GGA, optimized geometry); energy = -6.030 eV/atom; space-group type = C2 (5); size of the total moment = 0.00 μB/f.u.
1.0
2.7049 -4.7548 0.0000
2.7049 4.7548 0.0000
-1.7007 0.0000 4.9265
Li Dy Sb O
4 1 1 6
Direct
0.0000 0.0000 0.0000 Li
0.3837 0.6163 0.0000 Li
0.6831 0.3169 0.0000 Li
0.8556 0.1444 0.5000 Li
0.1903 0.8097 0.5000 Dy
0.5223 0.4777 0.5000 Sb
0.1436 0.4003 0.2596 O
0.2881 0.2482 0.7337 O
0.4504 0.1053 0.2602 O
0.5997 0.8564 0.7404 O
0.7518 0.7119 0.2663 O
0.8947 0.5496 0.7398 O


Record 5
LiDySeO (PBE-GGA, optimized geometry); energy = -6.141 eV/atom; space-group type = P4/nmm (129); relative energy among the computed polymorphs = 0.0000 eV/atom; size of the total moment = 0.00 μB/f.u.
1.0
3.9061 0.0000 0.0000
0.0000 3.9061 0.0000
0.0000 0.0000 8.8228
Li Dy Se O
2 2 2 2
Direct
0.2500 0.7500 0.0000 Li
0.7500 0.2500 0.0000 Li
0.2500 0.2500 0.3748 Dy
0.7500 0.7500 0.6252 Dy
0.2500 0.2500 0.8195 Se
0.7500 0.7500 0.1805 Se
0.2500 0.7500 0.5000 O
0.7500 0.2500 0.5000 O


Record 6
LiDySeO (PBE-GGA, optimized geometry); energy = -6.063 eV/atom; space-group type = P2_1 (4); relative energy among the computed polymorphs = 0.0777 eV/atom; size of the total moment = 0.00 μB/f.u.
1.0
5.5228 0.0000 0.0000
0.0000 5.5235 0.0000
-2.4289 0.0000 9.8975
Li Dy Se O
4 4 4 4
Direct
0.0262 0.0000 0.0867 Li
0.4300 0.9390 0.9146 Li
0.5700 0.4390 0.0854 Li
0.9738 0.5000 0.9133 Li
0.0512 0.2680 0.6108 Dy
0.4488 0.2683 0.3893 Dy
0.5512 0.7683 0.6107 Dy
0.9488 0.7680 0.3892 Dy
0.0631 0.4762 0.1687 Se
0.4394 0.4744 0.8315 Se
0.5606 0.9744 0.1685 Se
0.9369 0.9762 0.8313 Se
0.2501 0.0204 0.5000 O
0.2500 0.5218 0.5002 O
0.7500 0.0218 0.4998 O
0.7499 0.5204 0.5000 O


Record 7
LiDySeO (PBE-GGA, optimized geometry); energy = -6.044 eV/atom; space-group type = P2_1/c (14); relative energy among the computed polymorphs = 0.0962 eV/atom; size of the total moment = 0.00 μB/f.u.
1.0
6.2797 0.0000 0.0000
0.0000 7.2862 0.0000
-1.2702 0.0000 6.1381
Li Dy Se O
4 4 4 4
Direct
0.1155 0.2383 0.4687 Li
0.1155 0.2617 0.9687 Li
0.8845 0.7383 0.0313 Li
0.8845 0.7617 0.5313 Li
0.4309 0.6171 0.7624 Dy
0.4309 0.8829 0.2624 Dy
0.5691 0.1171 0.7376 Dy
0.5691 0.3829 0.2376 Dy
0.1682 0.5697 0.3138 Se
0.1682 0.9303 0.8138 Se
0.8318 0.0697 0.1862 Se
0.8318 0.4303 0.6862 Se
0.3986 0.1658 0.3989 O
0.3986 0.3342 0.8989 O
0.6014 0.6658 0.1011 O
0.6014 0.8342 0.6011 O


Record 8
LiDySeO (PBE-GGA, optimized geometry); energy = -5.895 eV/atom; space-group type = Pmc2_1 (26); relative energy among the computed polymorphs = 0.2453 eV/atom; size of the total moment = 0.00 μB/f.u.
1.0
3.8264 0.0000 0.0000
0.0000 6.2287 0.0000
0.0000 0.0000 6.6563
Li Dy Se O
2 2 2 2
Direct
0.0000 0.1481 0.0000 Li
0.0000 0.8519 0.5000 Li
0.5000 0.4677 0.3070 Dy
0.5000 0.5323 0.8070 Dy
0.0000 0.2668 0.5715 Se
0.0000 0.7332 0.0715 Se
0.5000 0.2770 0.0345 O
0.5000 0.7230 0.5345 O


Record 9
Li4DyTaO6 (PBE-GGA, optimized geometry); energy = -7.087 eV/atom; space-group type = C2 (5); size of the total moment = 0.00 μB/f.u.
1.0
2.7154 -4.7053 0.0000
2.7154 4.7053 0.0000
-1.8058 0.0000 4.8893
Li Dy Ta O
4 1 1 6
Direct
0.0000 0.0000 0.0000 Li
0.3736 0.6264 0.0000 Li
0.6925 0.3075 0.0000 Li
0.8545 0.1455 0.5000 Li
0.1874 0.8126 0.5000 Dy
0.5217 0.4783 0.5000 Ta
0.1369 0.4013 0.2592 O
0.2891 0.2537 0.7303 O
0.4431 0.1013 0.2618 O
0.5987 0.8631 0.7408 O
0.7463 0.7109 0.2697 O
0.8987 0.5569 0.7382 O


Record 10
Li4DyTcO6 (PBE-GGA, optimized geometry); energy = -6.481 eV/atom; space-group type = C2 (5); size of the total moment = 2.00 μB/f.u.
1.0
2.6700 -4.6410 0.0000
2.6700 4.6410 0.0000
-1.7426 0.0000 4.8869
Li Dy Tc O
4 1 1 6
Direct
0.0000 0.0000 0.0000 Li
0.3716 0.6284 0.0000 Li
0.6901 0.3099 0.0000 Li
0.8499 0.1501 0.5000 Li
0.1863 0.8137 0.5000 Dy
0.5177 0.4823 0.5000 Tc
0.1281 0.3977 0.2554 O
0.2851 0.2592 0.7320 O
0.4438 0.1064 0.2589 O
0.6023 0.8719 0.7446 O
0.7408 0.7149 0.2680 O
0.8936 0.5562 0.7411 O


Record 11
LiDyTeO (PBE-GGA, optimized geometry); energy = -5.740 eV/atom; space-group type = P2_1/c (14); relative energy among the computed polymorphs = 0.1138 eV/atom; size of the total moment = 0.00 μB/f.u.
1.0
6.6867 0.0000 0.0000
0.0000 7.4743 0.0000
-1.2076 0.0000 6.3564
Li Dy Te O
4 4 4 4
Direct
0.1403 0.2222 0.4638 Li
0.1403 0.2778 0.9638 Li
0.8597 0.7222 0.0362 Li
0.8597 0.7778 0.5362 Li
0.4408 0.6175 0.7724 Dy
0.4408 0.8825 0.2724 Dy
0.5592 0.1175 0.7276 Dy
0.5592 0.3825 0.2276 Dy
0.1636 0.5636 0.3106 Te
0.1636 0.9364 0.8106 Te
0.8364 0.0636 0.1894 Te
0.8364 0.4364 0.6894 Te
0.4106 0.1620 0.3992 O
0.4106 0.3380 0.8992 O
0.5894 0.6620 0.1008 O
0.5894 0.8380 0.6008 O


Record 12
LiDyTeO (PBE-GGA, optimized geometry); energy = -5.853 eV/atom; space-group type = P4/nmm (129); relative energy among the computed polymorphs = 0.0000 eV/atom; size of the total moment = 0.00 μB/f.u.
1.0
4.0366 0.0000 0.0000
0.0000 4.0366 0.0000
0.0000 0.0000 9.3627
Li Dy Te O
2 2 2 2
Direct
0.2500 0.7500 0.0000 Li
0.7500 0.2500 0.0000 Li
0.2500 0.2500 0.3884 Dy
0.7500 0.7500 0.6116 Dy
0.2500 0.2500 0.8097 Te
0.7500 0.7500 0.1903 Te
0.2500 0.7500 0.5000 O
0.7500 0.2500 0.5000 O


Record 13
LiDyTeO (PBE-GGA, optimized geometry); energy = -5.613 eV/atom; space-group type = Pmc2_1 (26); relative energy among the computed polymorphs = 0.2404 eV/atom; size of the total moment = 0.00 μB/f.u.
1.0
3.9693 0.0000 0.0000
0.0000 6.6221 0.0000
0.0000 0.0000 6.8507
Li Dy Te O
2 2 2 2
Direct
0.0000 0.1791 0.0000 Li
0.0000 0.8209 0.5000 Li
0.5000 0.4835 0.2794 Dy
0.5000 0.5165 0.7794 Dy
0.0000 0.2429 0.5394 Te
0.0000 0.7571 0.0394 Te
0.5000 0.2971 0.0184 O
0.5000 0.7029 0.5184 O


Record 14
LiDyPb2 (PBE-GGA, optimized geometry); energy = -3.878 eV/atom; space-group type = P4/mmm (123); size of the total moment = 0.00 μB/f.u.
1.0
4.8065 0.0000 0.0000
0.0000 4.8065 0.0000
0.0000 0.0000 4.4164
Li Dy Pb
1 1 2
Direct
0.0000 0.0000 0.0000 Li
0.5000 0.5000 0.0000 Dy
0.0000 0.5000 0.5000 Pb
0.5000 0.0000 0.5000 Pb


Record 15
Li3Pr2DyPb3 (PBE-GGA, optimized geometry); energy = -3.933 eV/atom; space-group type = P-6m2 (187); size of the total moment = 0.02 μB/f.u.
1.0
4.8556 0.0000 0.0000
-2.4278 4.2051 0.0000
0.0000 0.0000 11.2166
Li Pr Dy Pb
3 2 1 3
Direct
0.0000 0.0000 0.0000 Li
0.6667 0.3333 0.3201 Li
0.6667 0.3333 0.6799 Li
0.3333 0.6667 0.1687 Pr
0.3333 0.6667 0.8313 Pr
0.3333 0.6667 0.5000 Dy
0.0000 0.0000 0.3392 Pb
0.0000 0.0000 0.6608 Pb
0.6667 0.3333 0.0000 Pb


Record 16
Li3Sm2DyPb3 (PBE-GGA, optimized geometry); energy = -3.915 eV/atom; space-group type = P-6m2 (187); size of the total moment = 0.02 μB/f.u.
1.0
4.8278 0.0000 0.0000
-2.4139 4.1810 0.0000
0.0000 0.0000 11.0472
Li Sm Dy Pb
3 2 1 3
Direct
0.0000 0.0000 0.0000 Li
0.3333 0.6667 0.3137 Li
0.3333 0.6667 0.6863 Li
0.6667 0.3333 0.1668 Sm
0.6667 0.3333 0.8332 Sm
0.6667 0.3333 0.5000 Dy
0.0000 0.0000 0.3332 Pb
0.0000 0.0000 0.6668 Pb
0.3333 0.6667 0.0000 Pb


Record 17
Li3SmDy2Pb3 (PBE-GGA, optimized geometry); energy = -3.900 eV/atom; space-group type = P-6m2 (187); size of the total moment = 0.09 μB/f.u.
1.0
4.7782 0.0000 0.0000
-2.3891 4.1380 0.0000
0.0000 0.0000 11.1322
Li Sm Dy Pb
3 1 2 3
Direct
0.0000 0.0000 0.0000 Li
0.3333 0.6667 0.3064 Li
0.3333 0.6667 0.6936 Li
0.6667 0.3333 0.5000 Sm
0.6667 0.3333 0.1621 Dy
0.6667 0.3333 0.8379 Dy
0.0000 0.0000 0.3222 Pb
0.0000 0.0000 0.6778 Pb
0.3333 0.6667 0.0000 Pb


Record 18
Li3Tb2DyPb3 (PBE-GGA, optimized geometry); energy = -3.884 eV/atom; space-group type = P-6m2 (187); size of the total moment = 0.00 μB/f.u.
1.0
4.7936 0.0000 0.0000
-2.3968 4.1514 0.0000
0.0000 0.0000 10.8638
Li Tb Dy Pb
3 2 1 3
Direct
0.0000 0.0000 0.0000 Li
0.3333 0.6667 0.3108 Li
0.3333 0.6667 0.6892 Li
0.6667 0.3333 0.1652 Tb
0.6667 0.3333 0.8348 Tb
0.6667 0.3333 0.5000 Dy
0.0000 0.0000 0.3289 Pb
0.0000 0.0000 0.6711 Pb
0.3333 0.6667 0.0000 Pb


Record 19
LiDyTe3Pb (PBE-GGA, optimized geometry); energy = -4.199 eV/atom; space-group type = Cmcm (63); relative energy among the computed polymorphs = 0.0166 eV/atom; size of the total moment = 0.00 μB/f.u.
1.0
2.1994 -7.2609 0.0000
2.1994 7.2609 0.0000
0.0000 0.0000 11.3705
Li Dy Te Pb
2 2 6 2
Direct
0.0234 0.9766 0.7500 Li
0.9766 0.0234 0.2500 Li
0.5000 0.5000 0.0000 Dy
0.5000 0.5000 0.5000 Dy
0.1419 0.8581 0.5624 Te
0.1419 0.8581 0.9376 Te
0.4120 0.5880 0.7500 Te
0.5880 0.4120 0.2500 Te
0.8581 0.1419 0.0624 Te
0.8581 0.1419 0.4376 Te
0.2595 0.7405 0.2500 Pb
0.7405 0.2595 0.7500 Pb


Record 20
LiDyTe3Pb (PBE-GGA, optimized geometry); energy = -4.215 eV/atom; space-group type = C2/m (12); relative energy among the computed polymorphs = 0.0000 eV/atom; size of the total moment = 0.00 μB/f.u.
1.0
9.5116 -2.1783 0.0000
9.5116 2.1783 0.0000
-2.1647 0.0000 8.9984
Li Dy Te Pb
2 2 6 2
Direct
0.0043 0.0043 0.1980 Li
0.9957 0.9957 0.8020 Li
0.3346 0.3346 0.9125 Dy
0.6654 0.6654 0.0875 Dy
0.0000 0.0000 0.5000 Te
0.1680 0.1680 0.8522 Te
0.1787 0.1787 0.3257 Te
0.5000 0.5000 0.0000 Te
0.8213 0.8213 0.6743 Te
0.8320 0.8320 0.1478 Te
0.3665 0.3665 0.4362 Pb
0.6335 0.6335 0.5638 Pb


Record 21
LiDyPdS3 (PBE-GGA, optimized geometry); energy = -5.116 eV/atom; space-group type = Cmcm (63); size of the total moment = 0.01 μB/f.u.
1.0
1.8994 -6.3422 0.0000
1.8994 6.3422 0.0000
0.0000 0.0000 10.1371
Li Dy Pd S
2 2 2 6
Direct
0.2190 0.7810 0.7500 Li
0.7810 0.2190 0.2500 Li
0.0000 0.0000 0.0000 Dy
0.0000 0.0000 0.5000 Dy
0.4940 0.5060 0.2500 Pd
0.5060 0.4940 0.7500 Pd
0.1078 0.8922 0.2500 S
0.3593 0.6407 0.0836 S
0.3593 0.6407 0.4164 S
0.6407 0.3593 0.5836 S
0.6407 0.3593 0.9164 S
0.8922 0.1078 0.7500 S


Record 22
LiDyTe3Pd (PBE-GGA, optimized geometry); energy = -4.395 eV/atom; space-group type = Cmcm (63); size of the total moment = 0.00 μB/f.u.
1.0
2.1055 -7.7574 0.0000
2.1055 7.7574 0.0000
0.0000 0.0000 10.0488
Li Dy Te Pd
2 2 6 2
Direct
0.2322 0.7678 0.7500 Li
0.7678 0.2322 0.2500 Li
0.0000 0.0000 0.0000 Dy
0.0000 0.0000 0.5000 Dy
0.1159 0.8841 0.2500 Te
0.3649 0.6351 0.0896 Te
0.3649 0.6351 0.4104 Te
0.6351 0.3649 0.5896 Te
0.6351 0.3649 0.9104 Te
0.8841 0.1159 0.7500 Te
0.4980 0.5020 0.7500 Pd
0.5020 0.4980 0.2500 Pd